Compound: Hf2Ti2Zn
Source: Alexandria via LeMat-Bulk
Functional: PBE
Structure: optimized geometry

```
data_Hf2Ti2Zn
_chemical_formula_sum 'Hf4 Ti4 Zn2'
_cell_length_a 7.228
_cell_length_b 7.228
_cell_length_c 3.787
_cell_angle_alpha 90.00
_cell_angle_beta 90.00
_cell_angle_gamma 90.00
_symmetry_space_group_name_H-M 'P 4/m b m'
_symmetry_Int_Tables_number 127
_symmetry_space_group_name_Hall '-P 4 2ab'
loop_
_atom_site_label
_atom_site_fract_x
_atom_site_fract_y
_atom_site_fract_z
_atom_site_occupancy
Hf1 0.144 0.356 0.000 1
Ti1 0.151 0.651 0.500 1
Zn1 0.000 0.000 0.000 1
```

Output
Total magnetization ... 0.00 μB per formula unit

=====

Compound: HfTiZn3
Source: Alexandria via LeMat-Bulk
Functional: PBE
Structure: optimized geometry

```
data_HfTiZn3
_chemical_formula_sum 'Hf1 Ti1 Zn3'
_cell_length_a 4.962
_cell_length_b 4.962
_cell_length_c 4.962
_cell_angle_alpha 90.00
_cell_angle_beta 90.00
_cell_angle_gamma 90.00
_symmetry_space_group_name_H-M 'P m -3 m'
_symmetry_Int_Tables_number 221
_symmetry_space_group_name_Hall '-P 4 2 3'
loop_
_atom_site_label
_atom_site_fract_x
_atom_site_fract_y
_atom_site_fract_z
_atom_site_occupancy
Hf1 0.000 0.000 0.000 1
Ti1 0.500 0.500 0.500 1
Zn1 0.000 0.000 0.500 1
```

Output
Total magnetization ... 0.00 μB per formula unit

=====

Compound: HfTiZn3
Source: Alexandria via LeMat-Bulk
Functional: PBE
Structure: optimized geometry

```
data_HfTiZn3
_chemical_formula_sum 'Hf1 Ti1 Zn3'
_cell_length_a 4.674
_cell_length_b 4.674
_cell_length_c 4.674
_cell_angle_alpha 90.00
_cell_angle_beta 90.00
_cell_angle_gamma 90.00
_symmetry_space_group_name_H-M 'P m -3 m'
_symmetry_Int_Tables_number 221
_symmetry_space_group_name_Hall '-P 4 2 3'
loop_
_atom_site_label
_atom_site_fract_x
_atom_site_fract_y
_atom_site_fract_z
_atom_site_occupancy
Hf1 0.000 0.000 0.000 1
Ti1 0.500 0.500 0.500 1
Zn1 0.000 0.500 0.500 1
```

Output
Total magnetization ... 1.82 μB per formula unit

=====

Let's list formation energy in order: 0.227 1.219 0.829 eV per atom.
Let's list energy relative to the lowest polymorph listed for this composition in order: 162.7 1392.7 1003.1 meV per atom.